# 1
# Co2SiOs

Co2SiOs after structural relaxation (GGA-PBEsol, the Alexandria database).

Geometry as CIF:
```
data_Co2SiOs
_chemical_formula_sum 'Co6 Si3 Os3'
_cell_length_a 2.6157
_cell_length_b 2.6157
_cell_length_c 23.2599
_cell_angle_alpha 90.00
_cell_angle_beta 90.00
_cell_angle_gamma 120.00
_symmetry_space_group_name_H-M 'R -3 m'
_symmetry_Int_Tables_number 166
_symmetry_space_group_name_Hall '-R 3 2"'
loop_
_atom_site_label
_atom_site_type_symbol
_atom_site_fract_x
_atom_site_fract_y
_atom_site_fract_z
Co1 Co 0.0000 0.0000 0.2441
Si1 Si 0.0000 0.0000 0.5000
Os1 Os 0.0000 0.0000 0.0000
```

Output
- N(E_F) (states/eV/atom) = 0.921
- E_form (uncorrected) (eV/atom) = -0.1457
- spin magnetization (μB/cell) = 2.1
- E (eV/f.u.) = -34.0
- crystal system = trigonal

=====

# 2
# Co2SiOs

Co2SiOs after structural relaxation (GGA-PBEsol, the Alexandria database).

Geometry as CIF:
```
data_Co2SiOs
_chemical_formula_sum 'Co6 Si3 Os3'
_cell_length_a 2.6525
_cell_length_b 2.6525
_cell_length_c 23.2471
_cell_angle_alpha 90.00
_cell_angle_beta 90.00
_cell_angle_gamma 120.00
_symmetry_space_group_name_H-M 'R 3 m'
_symmetry_Int_Tables_number 160
_symmetry_space_group_name_Hall 'R 3 -2"'
loop_
_atom_site_label
_atom_site_type_symbol
_atom_site_fract_x
_atom_site_fract_y
_atom_site_fract_z
Co1 Co 0.0000 0.0000 0.0000
Co2 Co 0.0000 0.0000 0.2501
Si1 Si 0.0000 0.0000 0.5087
Os1 Os 0.0000 0.0000 0.7550
```

Output
- N(E_F) (states/eV/atom) = 0.923
- E_form (uncorrected) (eV/atom) = 0.0073
- spin magnetization (μB/cell) = 6.3
- E (eV/f.u.) = -33.4
- crystal system = trigonal

=====

# 3
# Co2SiOs

Co2SiOs after structural relaxation (GGA-PBEsol, the Alexandria database).

Geometry as CIF:
```
data_Co2SiOs
_chemical_formula_sum 'Co4 Si2 Os2'
_cell_length_a 3.7552
_cell_length_b 2.6308
_cell_length_c 9.3781
_cell_angle_alpha 90.00
_cell_angle_beta 90.00
_cell_angle_gamma 90.00
_symmetry_space_group_name_H-M 'A m m 2'
_symmetry_Int_Tables_number 38
loop_
_symmetry_equiv_pos_as_xyz
'x,y,z'
'-x,-y,z'
'-x,y,z'
'x,-y,z'
'x,y+1/2,z+1/2'
'-x,-y+1/2,z+1/2'
'-x,y+1/2,z+1/2'
'x,-y+1/2,z+1/2'
loop_
_atom_site_label
_atom_site_type_symbol
_atom_site_fract_x
_atom_site_fract_y
_atom_site_fract_z
Co1 Co 0.0000 0.0000 0.0000
Co2 Co 0.5000 0.0000 0.3918
Si1 Si 0.5000 0.0000 0.1308
Os1 Os 0.0000 0.0000 0.7422
```

Output
- N(E_F) (states/eV/atom) = 1.079
- E_form (uncorrected) (eV/atom) = -0.1352
- spin magnetization (μB/cell) = 3.9
- E (eV/f.u.) = -34.0
- crystal system = orthorhombic

=====

# 4
# Co2SiOs

Co2SiOs after structural relaxation (GGA-PBEsol, the Alexandria database).

Geometry as CIF:
```
data_Co2SiOs
_chemical_formula_sum 'Co2 Si1 Os1'
_cell_length_a 3.5488
_cell_length_b 3.5488
_cell_length_c 3.6049
_cell_angle_alpha 90.00
_cell_angle_beta 90.00
_cell_angle_gamma 90.00
_symmetry_space_group_name_H-M 'P 4/m m m'
_symmetry_Int_Tables_number 123
_symmetry_space_group_name_Hall '-P 4 2'
loop_
_atom_site_label
_atom_site_type_symbol
_atom_site_fract_x
_atom_site_fract_y
_atom_site_fract_z
Co1 Co 0.0000 0.5000 0.0000
Si1 Si 0.0000 0.0000 0.5000
Os1 Os 0.5000 0.5000 0.5000
```

Output
- N(E_F) (states/eV/atom) = 1.176
- E_form (uncorrected) (eV/atom) = -0.1318
- spin magnetization (μB/cell) = 0.0
- E (eV/f.u.) = -34.0
- crystal system = tetragonal